Record 1
# TiMnAlAu, relaxed, DFT PBE
data_TiMnAlAu
_space_group_name_H-M_alt 'F -4 3 m'
_space_group_IT_number 216
_space_group_name_Hall 'F -4 2 3'
_cell_length_a 6.183
_cell_length_b 6.183
_cell_length_c 6.183
_cell_angle_alpha 90.00
_cell_angle_beta 90.00
_cell_angle_gamma 90.00
loop_
_atom_site_label
_atom_site_fract_x
_atom_site_fract_y
_atom_site_fract_z
Ti1 0.000 0.000 0.000
Mn1 0.250 0.250 0.750
Al1 0.000 0.000 0.500
Au1 0.250 0.250 0.250
# Calculated formation energy   -0.9 eV/f.u.
# Total moment   0.6 μB per formula unit
# Calculated volume   59.1 Å³/f.u.

Record 2
# MnAlVAu, relaxed, DFT PBE
data_MnAlVAu
_space_group_name_H-M_alt 'F -4 3 m'
_space_group_IT_number 216
_space_group_name_Hall 'F -4 2 3'
_cell_length_a 6.197
_cell_length_b 6.197
_cell_length_c 6.197
_cell_angle_alpha 90.00
_cell_angle_beta 90.00
_cell_angle_gamma 90.00
loop_
_atom_site_label
_atom_site_fract_x
_atom_site_fract_y
_atom_site_fract_z
Mn1 0.000 0.000 0.000
Al1 0.000 0.000 0.500
V1 0.250 0.250 0.250
Au1 0.250 0.250 0.750
# Calculated formation energy   -0.6 eV/f.u.
# Total moment   1.8 μB per formula unit
# Calculated volume   59.5 Å³/f.u.

Record 3
# ZrMn2AlAu, relaxed, DFT PBE
data_ZrMn2AlAu
_space_group_name_H-M_alt 'P 4/m m m'
_space_group_IT_number 123
_space_group_name_Hall '-P 4 2'
_cell_length_a 4.530
_cell_length_b 4.530
_cell_length_c 4.628
_cell_angle_alpha 90.00
_cell_angle_beta 90.00
_cell_angle_gamma 90.00
loop_
_atom_site_label
_atom_site_fract_x
_atom_site_fract_y
_atom_site_fract_z
Zr1 0.000 0.000 0.000
Mn1 0.000 0.500 0.500
Al1 0.500 0.500 0.500
Au1 0.500 0.500 0.000
# Calculated formation energy   2.8 eV/f.u.
# Total moment   4.9 μB per formula unit
# Calculated volume   95.0 Å³/f.u.